(1)
Compound: CsRb2SrCl
Source: Alexandria
Functional: PBE
Structure: optimized geometry

Cell lengths 7.6600, 7.6600, 5.8300 Å; angles 90.00, 90.00, 90.00 degrees
Closest atoms and distances in Å follow each position.
Positions (direct):
Rb  0.5000  0.0000  0.0000  2 Cl 3.83
Rb  0.0000  0.5000  0.0000  2 Cl 3.83
Cl  0.0000  0.0000  0.0000  2 Sr 2.91
Sr  0.0000  0.0000  0.5000  2 Cl 2.91
Cs  0.5000  0.5000  0.5000  8 Rb 4.81

Properties
theoretical density	2.07	g/cm³
total magnetization	0.000	μB/atom
formation energy from raw total energies	-607	meV/atom
space group	P4/mmm, No. 123
D(E_F)	4.2	states/eV/cell

(2)
Compound: LaTb2Nd9
Source: Alexandria
Functional: PBE
Structure: optimized geometry

Cell lengths 5.1838, 5.1838, 15.5733 Å; angles 90.00, 90.00, 90.00 degrees
Closest atoms and distances in Å follow each position.
Positions (direct):
Nd  0.5000  0.5000  0.3356  8 Nd 3.64-3.66, 4 Tb 3.67
Nd  0.5000  0.5000  0.6644  8 Nd 3.64-3.66, 4 Tb 3.67
Nd  0.0000  0.5000  0.1697  2 Tb 3.65, 8 Nd 3.66-3.70, 2 La 3.70
Nd  0.5000  0.0000  0.5000  8 Nd 3.64-3.67, 4 Tb 3.66
Nd  0.5000  0.5000  0.0000  4 La 3.67, 8 Nd 3.70
Nd  0.5000  0.0000  0.1697  2 Tb 3.65, 8 Nd 3.66-3.70, 2 La 3.70
Nd  0.5000  0.0000  0.8303  2 Tb 3.65, 8 Nd 3.66-3.70, 2 La 3.70
Nd  0.0000  0.5000  0.5000  8 Nd 3.64-3.67, 4 Tb 3.66
Nd  0.0000  0.5000  0.8303  2 Tb 3.65, 8 Nd 3.66-3.70, 2 La 3.70
Tb  0.0000  0.0000  0.3345  12 Nd 3.65-3.67
Tb  0.0000  0.0000  0.6655  12 Nd 3.65-3.67
La  0.0000  0.0000  0.0000  12 Nd 3.67-3.70

Properties
theoretical density	6.96	g/cm³
total magnetization	0.000	μB/atom
VASP energy	-4.742	eV per atom
space group	P4/mmm, No. 123
D(E_F)	20.3	states/eV/cell

(3)
Compound: InRhN3
Source: Alexandria
Functional: PBE
Structure: optimized geometry

Cell lengths 3.9318, 3.9318, 3.9318 Å; angles 90.00, 90.00, 90.00 degrees
Closest atoms and distances in Å follow each position.
Positions (direct):
N  0.0000  0.5000  0.0000  2 Rh 1.97
N  0.0000  0.0000  0.5000  2 Rh 1.97
N  0.5000  0.0000  0.0000  2 Rh 1.97
Rh  0.0000  0.0000  0.0000  6 N 1.97
In  0.5000  0.5000  0.5000  12 N 2.78

Properties
theoretical density	7.10	g/cm³
total magnetization	0.000	μB/atom
formation energy from raw total energies	1420	meV/atom
space group	Pm-3m, No. 221
D(E_F)	6.2	states/eV/cell

(4)
Compound: Sr4SbTe3
Source: Alexandria
Functional: PBE
Structure: optimized geometry

Cell lengths 6.7233, 6.7233, 6.7233 Å; angles 90.00, 90.00, 90.00 degrees
Closest atoms and distances in Å follow each position.
Positions (direct):
Sb  0.0000  0.0000  0.0000  6 Sr 3.36
Te  0.0000  0.5000  0.5000  6 Sr 3.36
Te  0.5000  0.5000  0.0000  6 Sr 3.36
Te  0.5000  0.0000  0.5000  6 Sr 3.36
Sr  0.5000  0.5000  0.5000  6 Te 3.36
Sr  0.0000  0.5000  0.0000  4 Te 3.36, 2 Sb 3.36
Sr  0.0000  0.0000  0.5000  4 Te 3.36, 2 Sb 3.36
Sr  0.5000  0.0000  0.0000  4 Te 3.36, 2 Sb 3.36

Properties
theoretical density	4.67	g/cm³
total magnetization	0.000	μB/atom
formation energy from raw total energies	-1457	meV/atom
space group	Pm-3m, No. 221
D(E_F)	5.6	states/eV/cell